## Sc2SiPb (PBE)

Data for a relaxed structure of Sc2SiPb.

Summary:
Distance to the lowest polymorph of the same formula: 21.1 meV per atom
Magnetic moment: 0.0 μB/cell
E_form (uncorrected): -423 meV/atom
Electronic total energy: -23.5 eV/f.u.

Cell lengths 3.2187, 3.2187, 8.2044 Å; angles 90.00, 90.00, 90.00 degrees
Atoms (fractional coordinates):
Sc: 0.0000 0.0000 0.2109
Sc: 0.0000 0.0000 0.7891
Si: 0.5000 0.5000 0.0000
Pb: 0.5000 0.5000 0.5000

## CsTlC2I (PBE)

Data for a relaxed structure of CsTlC2I.

Summary:
Magnetic moment: 3.6 μB/cell
E_form (uncorrected): 1900 meV/atom
Electronic total energy: -13.7 eV/f.u.

Cell lengths 4.9538, 4.9538, 11.3216 Å; angles 90.00, 90.00, 90.00 degrees
Atoms (fractional coordinates):
Cs: 0.0000 0.0000 0.0000
Tl: 0.0000 0.0000 0.5000
C: 0.0000 0.5000 0.5000
C: 0.5000 0.0000 0.5000
I: 0.5000 0.5000 0.0000

## Zn4FePd5 (PBE)

Data for a relaxed structure of Zn4FePd5.

Summary:
Magnetic moment: 3.1 μB/cell
Electronic total energy: -44.0 eV/f.u.
DFT formation energy: -428 kJ/mol of formula units

Cell lengths 2.8749, 2.8749, 17.3563 Å; angles 90.00, 90.00, 90.00 degrees
Atoms (fractional coordinates):
Zn: 0.0000 0.0000 0.0999
Zn: 0.0000 0.0000 0.2998
Zn: 0.0000 0.0000 0.7002
Zn: 0.0000 0.0000 0.9001
Fe: 0.0000 0.0000 0.5000
Pd: 0.5000 0.5000 0.0000
Pd: 0.5000 0.5000 0.1997
Pd: 0.5000 0.5000 0.3994
Pd: 0.5000 0.5000 0.6006
Pd: 0.5000 0.5000 0.8003

## Zn2CdSe (PBE)

Data for a relaxed structure of Zn2CdSe.

Summary:
Distance to the lowest polymorph of the same formula: 227.4 meV per atom
Magnetic moment: 0.0 μB/cell
E_form (uncorrected): 130 meV/atom
Electronic total energy: -6.4 eV/f.u.

Cell lengths 3.0682, 3.0682, 8.2138 Å; angles 90.00, 90.00, 90.00 degrees
Atoms (fractional coordinates):
Zn: 0.0000 0.0000 0.0000
Zn: 0.5000 0.5000 0.2030
Cd: 0.0000 0.0000 0.4550
Se: 0.5000 0.5000 0.7590

## PmNd2Dy6 (PBE)

Data for a relaxed structure of PmNd2Dy6.

Summary:
Distance to the lowest polymorph of the same formula: 85.5 meV per atom
Magnetic moment: 0.0 μB/cell
Electronic total energy: -41.0 eV/f.u.
DFT formation energy: 90 kJ/mol of formula units

Cell lengths 9.8268, 9.8268, 9.8268 Å; angles 159.45, 116.42, 67.58 degrees
Atoms (fractional coordinates):
Pm: 0.0000 0.0000 0.0000
Nd: 0.3429 0.8429 0.5000
Nd: 0.6571 0.1571 0.5000
Dy: 0.0109 0.1776 0.8333
Dy: 0.3135 0.5000 0.8135
Dy: 0.3442 0.1776 0.1667
Dy: 0.6558 0.8224 0.8333
Dy: 0.6865 0.5000 0.1865
Dy: 0.9891 0.8224 0.1667

## GdCd2Pb (PBE)

Data for a relaxed structure of GdCd2Pb.

Summary:
Distance to the lowest polymorph of the same formula: 180.4 meV per atom
Magnetic moment: 7.1 μB/cell
Electronic total energy: -20.3 eV/f.u.
DFT formation energy: -62 kJ/mol of formula units

Cell lengths 5.3220, 5.3220, 5.3220 Å; angles 60.00, 60.00, 60.00 degrees
Atoms (fractional coordinates):
Gd: 0.0000 0.0000 0.0000
Cd: 0.2500 0.2500 0.2500
Cd: 0.7500 0.7500 0.7500
Pb: 0.5000 0.5000 0.5000

## LaV2Cr (PBE)

Data for a relaxed structure of LaV2Cr.

Summary:
Distance to the lowest polymorph of the same formula: 359.3 meV per atom
Magnetic moment: 0.5 μB/cell
Electronic total energy: -28.9 eV/f.u.
DFT formation energy: 372 kJ/mol of formula units

Cell lengths 9.1871, 9.1871, 9.1871 Å; angles 151.22, 151.22, 41.16 degrees
Atoms (fractional coordinates):
La: 0.3750 0.6250 0.7500
La: 0.6250 0.3750 0.2500
V: 0.0000 0.0000 0.0000
V: 0.0000 0.0000 0.5000
V: 0.0000 0.5000 0.0000
V: 0.5000 0.0000 0.5000
Cr: 0.1250 0.8750 0.2500
Cr: 0.8750 0.1250 0.7500

## Nd7Sm2Tm2 (PBE)

Data for a relaxed structure of Nd7Sm2Tm2.

Summary:
Distance to the lowest polymorph of the same formula: 150.7 meV per atom
Magnetic moment: 0.0 μB/cell
Electronic total energy: -49.9 eV/f.u.
DFT formation energy: 175 kJ/mol of formula units

Cell lengths 6.8689, 6.8689, 8.4308 Å; angles 101.00, 101.00, 86.54 degrees
Atoms (fractional coordinates):
Nd: 0.0000 0.0000 0.0000
Nd: 0.0961 0.5005 0.8200
Nd: 0.2863 0.2863 0.4741
Nd: 0.5005 0.0961 0.8200
Nd: 0.4995 0.9039 0.1800
Nd: 0.7137 0.7137 0.5259
Nd: 0.9039 0.4995 0.1800
Sm: 0.4168 0.4168 0.1737
Sm: 0.5832 0.5832 0.8263
Tm: 0.2034 0.7966 0.5000
Tm: 0.7966 0.2034 0.5000

## Nb12CuSn6 (PBE)

Data for a relaxed structure of Nb12CuSn6.

Summary:
Magnetic moment: 0.0 μB/cell
Electronic total energy: -148.4 eV/f.u.
DFT formation energy: 54 kJ/mol of formula units

Cell lengths 7.1653, 7.1653, 7.1653 Å; angles 90.42, 90.42, 90.42 degrees
Atoms (fractional coordinates):
Nb: 0.0198 0.3071 0.9347
Nb: 0.0653 0.9802 0.6929
Nb: 0.1223 0.3591 0.4347
Nb: 0.3071 0.9347 0.0198
Nb: 0.3591 0.4347 0.1223
Nb: 0.4347 0.1223 0.3591
Nb: 0.5653 0.8777 0.6409
Nb: 0.6409 0.5653 0.8777
Nb: 0.6929 0.0653 0.9802
Nb: 0.8777 0.6409 0.5653
Nb: 0.9347 0.0198 0.3071
Nb: 0.9802 0.6929 0.0653
Cu: 0.5000 0.5000 0.5000
Sn: 0.2265 0.7567 0.3756
Sn: 0.2433 0.6244 0.7735
Sn: 0.3756 0.2265 0.7566
Sn: 0.6244 0.7735 0.2433
Sn: 0.7567 0.3756 0.2265
Sn: 0.7735 0.2433 0.6244

## LiHfB4 (PBE)

Data for a relaxed structure of LiHfB4.

Summary:
Magnetic moment: 0.0 μB/cell
Electronic total energy: -41.5 eV/f.u.
DFT formation energy: -285 kJ/mol of formula units

Cell lengths 5.7726, 11.1551, 3.3254 Å; angles 90.00, 90.00, 90.00 degrees
Atoms (fractional coordinates):
Li: 0.1293 0.0843 0.0000
Li: 0.3707 0.5843 0.0000
Li: 0.6293 0.4157 0.0000
Li: 0.8707 0.9157 0.0000
Hf: 0.1256 0.3485 0.0000
Hf: 0.3744 0.8485 0.0000
Hf: 0.6256 0.1515 0.0000
Hf: 0.8744 0.6515 0.0000
B: 0.0264 0.8056 0.5000
B: 0.1150 0.9519 0.5000
B: 0.1328 0.5305 0.5000
B: 0.2107 0.6862 0.5000
B: 0.2893 0.1862 0.5000
B: 0.3672 0.0305 0.5000
B: 0.3850 0.4519 0.5000
B: 0.4736 0.3056 0.5000
B: 0.5264 0.6944 0.5000
B: 0.6150 0.5481 0.5000
B: 0.6328 0.9695 0.5000
B: 0.7107 0.8138 0.5000
B: 0.7893 0.3138 0.5000
B: 0.8672 0.4695 0.5000
B: 0.8850 0.0481 0.5000
B: 0.9736 0.1944 0.5000

## NaPm5 (PBE)

Data for a relaxed structure of NaPm5.

Summary:
Magnetic moment: 0.0 μB/cell
Electronic total energy: -24.2 eV/f.u.
DFT formation energy: 87 kJ/mol of formula units

Cell lengths 8.2197, 8.2197, 5.1689 Å; angles 90.00, 90.00, 143.68 degrees
Atoms (fractional coordinates):
Na: 0.0000 0.0000 0.0000
Pm: 0.1723 0.8277 0.5000
Pm: 0.3296 0.6704 0.0000
Pm: 0.5000 0.5000 0.5000
Pm: 0.6704 0.3296 0.0000
Pm: 0.8277 0.1723 0.5000

## SrZrRu2 (PBE)

Data for a relaxed structure of SrZrRu2.

Summary:
Magnetic moment: 0.0 μB/cell
Electronic total energy: -27.8 eV/f.u.
DFT formation energy: 98 kJ/mol of formula units

Cell lengths 4.8259, 4.8259, 3.3555 Å; angles 90.00, 90.00, 90.00 degrees
Atoms (fractional coordinates):
Sr: 0.0000 0.0000 0.0000
Zr: 0.5000 0.5000 0.0000
Ru: 0.0000 0.5000 0.5000
Ru: 0.5000 0.0000 0.5000

## MgAlGa2 (PBE)

Data for a relaxed structure of MgAlGa2.

Summary:
Magnetic moment: 0.0 μB/cell
Electronic total energy: -11.2 eV/f.u.
DFT formation energy: 14 kJ/mol of formula units

Cell lengths 6.3543, 6.3543, 6.3543 Å; angles 37.29, 37.29, 37.29 degrees
Atoms (fractional coordinates):
Mg: 0.0000 0.0000 0.0000
Al: 0.1770 0.1770 0.1770
Ga: 0.4301 0.4301 0.4301
Ga: 0.5770 0.5770 0.5770

## CeSc2Tc (PBE)

Data for a relaxed structure of CeSc2Tc.

Summary:
Distance to the lowest polymorph of the same formula: 0.0 meV per atom
Magnetic moment: 0.0 μB/cell
Electronic total energy: -29.7 eV/f.u.
DFT formation energy: -73 kJ/mol of formula units

Cell lengths 7.0197, 8.9418, 5.9805 Å; angles 90.00, 90.00, 90.00 degrees
Atoms (fractional coordinates):
Ce: 0.0473 0.2500 0.1294
Ce: 0.4527 0.7500 0.6294
Ce: 0.5473 0.2500 0.3706
Ce: 0.9527 0.7500 0.8706
Sc: 0.1749 0.0640 0.6606
Sc: 0.1749 0.4360 0.6606
Sc: 0.3251 0.5640 0.1606
Sc: 0.3251 0.9360 0.1606
Sc: 0.6749 0.0640 0.8394
Sc: 0.6749 0.4360 0.8394
Sc: 0.8251 0.5640 0.3394
Sc: 0.8251 0.9360 0.3394
Tc: 0.1372 0.7500 0.4763
Tc: 0.3628 0.2500 0.9763
Tc: 0.6372 0.7500 0.0237
Tc: 0.8628 0.2500 0.5237

## Mn3Nb3C (PBE)

Data for a relaxed structure of Mn3Nb3C.

Summary:
Magnetic moment: 11.2 μB/cell
Electronic total energy: -68.8 eV/f.u.
DFT formation energy: -183 kJ/mol of formula units

Cell lengths 8.1108, 8.1108, 8.1108 Å; angles 60.00, 60.00, 60.00 degrees
Atoms (fractional coordinates):
Mn: 0.0000 0.0000 0.0000
Mn: 0.0000 0.0000 0.5000
Mn: 0.0000 0.5000 0.0000
Mn: 0.1058 0.7981 0.7981
Mn: 0.2019 0.2019 0.2019
Mn: 0.2019 0.2019 0.8942
Mn: 0.2019 0.8942 0.2019
Mn: 0.5000 0.0000 0.0000
Mn: 0.7981 0.1058 0.7981
Mn: 0.7981 0.7981 0.1058
Mn: 0.7981 0.7981 0.7981
Mn: 0.8942 0.2019 0.2019
Nb: 0.1797 0.1797 0.5703
Nb: 0.1797 0.5703 0.1797
Nb: 0.1797 0.5703 0.5703
Nb: 0.4297 0.4297 0.8203
Nb: 0.4297 0.8203 0.4297
Nb: 0.4297 0.8203 0.8203
Nb: 0.5703 0.1797 0.1797
Nb: 0.5703 0.1797 0.5703
Nb: 0.5703 0.5703 0.1797
Nb: 0.8203 0.4297 0.4297
Nb: 0.8203 0.4297 0.8203
Nb: 0.8203 0.8203 0.4297
C: 0.0000 0.5000 0.5000
C: 0.5000 0.0000 0.5000
C: 0.5000 0.5000 0.0000
C: 0.5000 0.5000 0.5000

## Al2FeMo2 (PBE)

Data for a relaxed structure of Al2FeMo2.

Summary:
Magnetic moment: 4.5 μB/cell
Electronic total energy: -37.4 eV/f.u.
DFT formation energy: 22 kJ/mol of formula units

Cell lengths 6.4837, 6.4837, 3.5029 Å; angles 90.00, 90.00, 90.00 degrees
Atoms (fractional coordinates):
Al: 0.1341 0.3659 0.0000
Al: 0.3659 0.8659 0.0000
Al: 0.6341 0.1341 0.0000
Al: 0.8659 0.6341 0.0000
Fe: 0.0000 0.0000 0.0000
Fe: 0.5000 0.5000 0.0000
Mo: 0.1707 0.6707 0.5000
Mo: 0.3293 0.1707 0.5000
Mo: 0.6707 0.8293 0.5000
Mo: 0.8293 0.3293 0.5000

## Pu4ThZr (PBE)

Data for a relaxed structure of Pu4ThZr.

Summary:
Magnetic moment: 21.3 μB/cell
Electronic total energy: -71.7 eV/f.u.
DFT formation energy: 150 kJ/mol of formula units

Cell lengths 6.0193, 6.0193, 6.0193 Å; angles 60.00, 60.00, 60.00 degrees
Atoms (fractional coordinates):
Pu: 0.1253 0.1253 0.1253
Pu: 0.1253 0.1253 0.6242
Pu: 0.1253 0.6242 0.1253
Pu: 0.6242 0.1253 0.1253
Th: 0.7500 0.7500 0.7500
Zr: 0.5000 0.5000 0.5000

## Ac2Tl4Pb (PBE)

Data for a relaxed structure of Ac2Tl4Pb.

Summary:
Distance to the lowest polymorph of the same formula: 151.1 meV per atom
Magnetic moment: 0.0 μB/cell
Electronic total energy: -21.7 eV/f.u.
DFT formation energy: -29 kJ/mol of formula units

Cell lengths 7.8832, 7.8832, 7.8832 Å; angles 133.50, 133.50, 67.86 degrees
Atoms (fractional coordinates):
Ac: 0.1472 0.1472 0.0000
Ac: 0.8528 0.8528 0.0000
Tl: 0.0000 0.5000 0.5000
Tl: 0.2500 0.7500 0.5000
Tl: 0.5000 0.0000 0.5000
Tl: 0.7500 0.2500 0.5000
Pb: 0.5000 0.5000 0.0000